The following is a DFT calculation (GGA-PBE) of a geometry-optimized In2SnSb structure.

a b c (Å): 6.712 6.712 12.985
angles (deg): 90.00 90.00 90.00
Space group I-42d (No. 122)
Asymmetric unit:
In 0.250 0.250 0.125 [8 per cell]
Sn 0.000 0.000 0.000 [4 per cell]
Sb 0.000 0.000 0.500 [4 per cell]

Uncorrected formation energy, eV/atom: 0.055
Energy above the lowest structure with this stoichiometry, meV per atom: 0


The following is a DFT calculation (GGA-PBE) of a geometry-optimized Na2Ge5Au3 structure.

a b c (Å): 11.192 12.471 6.101
angles (deg): 90.00 90.00 90.00
Space group Ibam (No. 72)
Asymmetric unit:
Na 0.249 0.119 0.000 [8 per cell]
Ge 0.000 0.248 0.250 [8 per cell]
Ge 0.000 0.500 0.250 [4 per cell]
Ge 0.136 0.127 0.500 [8 per cell]
Au 0.000 0.000 0.250 [4 per cell]
Au 0.139 0.371 0.000 [8 per cell]

Calculated formation energy, kJ/mol of atoms: -13.1


The following is a DFT calculation (GGA-PBE) of a geometry-optimized Pm2ScPa structure.

a b c (Å): 4.904 4.904 4.812
angles (deg): 90.00 90.00 90.00
Space group P4/mmm (No. 123)
Asymmetric unit:
Pm 0.000 0.500 0.000 [2 per cell]
Sc 0.000 0.000 0.500 [1 per cell]
Pa 0.500 0.500 0.500 [1 per cell]

Calculated formation energy, kJ/mol of atoms: 23.9
Energy above the lowest structure with this stoichiometry, meV per atom: 65


The following is a DFT calculation (GGA-PBE) of a geometry-optimized PrGe3Pt5 structure.

a b c (Å): 3.881 12.982 13.399
angles (deg): 90.00 90.00 90.00
Space group Cmcm (No. 63)
Asymmetric unit:
Pr 0.000 0.160 0.250 [4 per cell]
Ge 0.000 0.104 0.750 [4 per cell]
Ge 0.000 0.374 0.530 [8 per cell]
Pt 0.000 0.000 0.000 [4 per cell]
Pt 0.000 0.200 0.590 [8 per cell]
Pt 0.000 0.475 0.150 [8 per cell]

Calculated formation energy, kJ/mol of atoms: -62.6


The following is a DFT calculation (GGA-PBE) of a geometry-optimized YTmZn4 structure.

a b c (Å): 4.472 6.941 7.710
angles (deg): 90.00 90.00 90.00
Space group Immm (No. 71)
Asymmetric unit:
Y 0.000 0.000 0.000 [2 per cell]
Tm 0.000 0.500 0.000 [2 per cell]
Zn 0.000 0.248 0.333 [8 per cell]

Calculated formation energy, kJ/mol of atoms: -37.0
Energy above the lowest structure with this stoichiometry, meV per atom: 0


The following is a DFT calculation (GGA-PBE) of a geometry-optimized NdZn4Cu structure.

a b c (Å): 4.213 15.321 6.715
angles (deg): 90.00 90.00 90.00
Space group Cmcm (No. 63)
Asymmetric unit:
Nd 0.000 0.124 0.250 [4 per cell]
Zn 0.000 0.075 0.750 [4 per cell]
Zn 0.000 0.322 0.061 [8 per cell]
Zn 0.000 0.500 0.000 [4 per cell]
Cu 0.000 0.233 0.750 [4 per cell]

Calculated formation energy, kJ/mol of atoms: -21.5
Energy above the lowest structure with this stoichiometry, meV per atom: 0